[1]
A relaxed PmThZr crystal. Source: OQMD, functional PBE.

a b c (Å): 5.172 5.172 5.172
angles (deg): 60.00 60.00 60.00
Element x y z (fractional)
Pm  0.000  0.000  0.000
Th  0.250  0.250  0.250
Zr  0.750  0.750  0.750

Output
**Formation energy from the elements**: 0.961 eV/atom
**Symmetry**: F-43m, No. 216
**Magnetic moment**: 1.057 μB/cell

=====

[2]
A relaxed NdLuTe3Pb crystal. Source: OQMD, functional PBE.

a b c (Å): 8.000 8.000 12.074
angles (deg): 90.00 90.00 147.62
Element x y z (fractional)
Lu  0.531  0.469  0.250
Lu  0.469  0.531  0.750
Nd  0.000  0.000  0.000
Nd  0.000  0.000  0.500
Pb  0.200  0.800  0.250
Pb  0.800  0.200  0.750
Te  0.644  0.356  0.052
Te  0.906  0.094  0.250
Te  0.644  0.356  0.448
Te  0.356  0.644  0.552
Te  0.094  0.906  0.750
Te  0.356  0.644  0.948

Output
**Symmetry**: Cmcm, No. 63
**Magnetic moment**: 0.344 μB/cell

=====

[3]
A relaxed Li3Tm3SiGe2 crystal. Source: OQMD, functional PBE.

a b c (Å): 6.929 6.929 4.202
angles (deg): 90.00 90.00 120.00
Element x y z (fractional)
Ge  0.667  0.333  0.500
Ge  0.333  0.667  0.500
Li  0.230  0.000  0.500
Li  0.000  0.230  0.500
Li  0.770  0.770  0.500
Si  0.000  0.000  0.000
Tm  0.574  0.000  0.000
Tm  0.426  0.426  0.000
Tm  0.000  0.574  0.000

Output
**Symmetry**: P-62m, No. 189
**Magnetic moment**: 0.001 μB/cell

=====

[4]
A relaxed Ac4CdIr2 crystal. Source: OQMD, functional PBE.

a b c (Å): 7.627 7.627 14.944
angles (deg): 90.00 90.00 146.42
Element x y z (fractional)
Ac  0.000  0.000  0.000
Ac  0.735  0.265  0.108
Ac  0.435  0.565  0.250
Ac  0.735  0.265  0.392
Ac  0.000  0.000  0.500
Ac  0.265  0.735  0.608
Ac  0.565  0.435  0.750
Ac  0.265  0.735  0.892
Cd  0.115  0.885  0.250
Cd  0.885  0.115  0.750
Ir  0.368  0.632  0.064
Ir  0.368  0.632  0.436
Ir  0.632  0.368  0.564
Ir  0.632  0.368  0.936

Output
**Formation energy from the elements**: -0.541 eV/atom
**Symmetry**: Cmcm, No. 63
**Magnetic moment**: 0.020 μB/cell

=====

[5]
A relaxed SmTmAsO crystal. Source: OQMD, functional PBE.

a b c (Å): 4.257 7.448 6.041
angles (deg): 90.00 90.00 90.00
Element x y z (fractional)
As  0.000  0.821  0.426
As  0.000  0.179  0.926
O  0.500  0.337  0.373
O  0.500  0.663  0.873
Sm  0.000  0.204  0.434
Sm  0.000  0.796  0.934
Tm  0.500  0.394  0.020
Tm  0.500  0.606  0.520

Output
**Energy relative to the lowest polymorph listed for this composition**: 0 meV/atom
**Symmetry**: Pmc2_1, No. 26
**Magnetic moment**: 0.020 μB/cell

=====

[6]
A relaxed AgPb2 crystal. Source: OQMD, functional PBE.

a b c (Å): 4.944 4.944 4.944
angles (deg): 60.00 60.00 60.00
Element x y z (fractional)
Ag  0.000  0.000  0.000
Pb  0.250  0.250  0.250
Pb  0.750  0.750  0.750

Output
**Symmetry**: Fm-3m, No. 225

=====

[7]
A relaxed TaHgIr crystal. Source: OQMD, functional PBE.

a b c (Å): 4.429 4.429 4.429
angles (deg): 60.00 60.00 60.00
Element x y z (fractional)
Hg  0.250  0.250  0.250
Ir  0.000  0.000  0.000
Ta  0.750  0.750  0.750

Output
**Formation energy from the elements**: 0.260 eV/atom
**Energy relative to the lowest polymorph listed for this composition**: 0 meV/atom
**Symmetry**: F-43m, No. 216
**Magnetic moment**: 0.148 μB/cell

=====

[8]
A relaxed Sr5Zr3F22 crystal. Source: OQMD, functional PBE.

a b c (Å): 7.568 10.177 10.096
angles (deg): 90.00 90.00 90.00
Element x y z (fractional)
F  0.257  0.346  0.064
F  0.743  0.654  0.064
F  0.739  0.387  0.116
F  0.261  0.613  0.116
F  0.008  0.202  0.119
F  0.992  0.798  0.119
F  0.475  0.157  0.122
F  0.525  0.843  0.122
F  0.215  0.016  0.167
F  0.785  0.984  0.167
F  0.439  0.349  0.285
F  0.561  0.651  0.285
F  0.091  0.392  0.287
F  0.909  0.608  0.287
F  0.061  0.155  0.366
F  0.939  0.845  0.366
F  0.413  0.112  0.370
F  0.587  0.888  0.370
F  0.784  0.389  0.399
F  0.216  0.611  0.399
F  0.716  0.113  0.478
F  0.284  0.887  0.478
F  0.216  0.387  0.522
F  0.784  0.613  0.522
F  0.284  0.111  0.601
F  0.716  0.889  0.601
F  0.913  0.388  0.630
F  0.087  0.612  0.630
F  0.561  0.345  0.634
F  0.439  0.655  0.634
F  0.591  0.108  0.713
F  0.409  0.892  0.713
F  0.939  0.151  0.715
F  0.061  0.849  0.715
F  0.715  0.484  0.833
F  0.285  0.516  0.833
F  0.975  0.343  0.878
F  0.025  0.657  0.878
F  0.507  0.298  0.881
F  0.492  0.702  0.881
F  0.239  0.113  0.884
F  0.761  0.887  0.884
F  0.757  0.154  0.936
F  0.243  0.846  0.936
Sr  0.500  0.500  0.027
Sr  0.000  0.500  0.060
Sr  0.736  0.203  0.253
Sr  0.264  0.797  0.253
Sr  0.500  0.500  0.461
Sr  0.000  0.000  0.539
Sr  0.236  0.297  0.747
Sr  0.764  0.703  0.747
Sr  0.500  0.000  0.940
Sr  0.000  0.000  0.973
Zr  0.245  0.214  0.222
Zr  0.755  0.786  0.222
Zr  0.000  0.500  0.460
Zr  0.500  0.000  0.540
Zr  0.745  0.286  0.778
Zr  0.255  0.714  0.778

Output
**Symmetry**: P2_12_12, No. 18
**Magnetic moment**: 0.013 μB/cell

=====

Number 1: energy -17.822 eV per cell. Number 2: energy -55.438 eV per cell. Number 3: energy -39.782 eV per cell. Number 4: energy -77.628 eV per cell. Number 5: energy -53.453 eV per cell. Number 6: energy -9.953 eV per cell. Number 7: energy -20.224 eV per cell. Number 8: energy -379.734 eV per cell.